PBE-GGA Tl2CdGaRh, optimized geometry; spin magnetization = 0.00 μB per formula unit; calculated formation energy = 0.793 eV per atom; DOS(E_F) = 4.32 states/eV per cell; VASP energy = -12.1 eV/cell; symmetry = P4/mmm
1.0
5.5275 0.0000 0.0000
0.0000 5.5275 0.0000
0.0000 0.0000 5.0905
Tl Cd Ga Rh
2 1 1 1
Cartesian
0.0000 2.7638 0.0000
2.7638 0.0000 0.0000
0.0000 0.0000 0.0000
2.7638 2.7638 2.5453
0.0000 0.0000 2.5453